(1)
First-principles (PBE-GGA) data for an optimized crystal structure of PmCuPt2, as listed in Alexandria.

```
PmCuPt2
1.0
5.2437 0.0000 1.6670
2.3569 4.6842 1.6670
0.0460 0.0283 8.9361
Pt Cu Pm
6 3 3
direct
0.4159 0.4159 0.2497
0.9186 0.4159 0.2497
0.0814 0.5841 0.7503
0.5841 0.5841 0.7503
0.5841 0.0814 0.7503
0.4159 0.9186 0.2497
0.3333 0.3333 0.0000
0.5000 0.5000 0.5000
0.6667 0.6667 0.0000
0.0000 0.0000 0.0000
0.1393 0.1393 0.5821
0.8607 0.8607 0.4179
```

Computed properties:
energy of formation from the pure elements = -819 meV/atom
Fermi-level density of states = 0.397 states/eV per atom
total DFT energy (no corrections) = -6.05 eV per atom
magnetization = 0.00 μB per formula unit



(2)
First-principles (PBE-GGA) data for an optimized crystal structure of PmCu2Pt3, as listed in Alexandria.

```
PmCu2Pt3
1.0
3.9238 0.0000 0.0000
0.0000 3.9238 0.0000
-1.9619 -1.9619 14.1029
Pt Cu Pm
6 4 2
direct
0.4524 0.9524 0.9047
0.6909 0.6909 0.3819
0.9524 0.4524 0.9047
0.3091 0.3091 0.6181
0.0476 0.5476 0.0953
0.5476 0.0476 0.0953
0.6039 0.6039 0.2078
0.2500 0.7500 0.5000
0.7500 0.2500 0.5000
0.3961 0.3961 0.7922
0.8578 0.8578 0.7156
0.1422 0.1422 0.2844
```

Computed properties:
energy of formation from the pure elements = -364 meV/atom
Fermi-level density of states = 0.770 states/eV per atom
total DFT energy (no corrections) = -5.54 eV per atom
magnetization = 0.00 μB per formula unit



(3)
First-principles (PBE-GGA) data for an optimized crystal structure of Pm8CuPt2, as listed in Alexandria.

```
Pm8CuPt2
1.0
5.1401 0.0000 0.0000
0.0000 6.8430 -0.0412
-2.5700 -3.0147 8.8269
Pt Pm Cu
2 8 1
direct
0.8298 0.2663 0.6597
0.1702 0.7337 0.3403
0.7985 0.6571 0.5970
0.5930 0.4696 0.1861
0.0279 0.7903 0.0559
0.6741 0.0013 0.3482
0.4070 0.5304 0.8139
0.2015 0.3429 0.4030
0.9721 0.2097 0.9441
0.3259 0.9987 0.6518
0.5000 0.0000 0.0000
```

Computed properties:
energy of formation from the pure elements = -449 meV/atom
Fermi-level density of states = 0.996 states/eV per atom
total DFT energy (no corrections) = -5.37 eV per atom
magnetization = 0.00 μB per formula unit



(4)
First-principles (PBE-GGA) data for an optimized crystal structure of PmPuCuPt, as listed in Alexandria.

```
PmPuCuPt
1.0
-2.1061 0.7962 -4.4701
-4.4160 -2.0870 -1.0932
-4.0953 2.8544 -0.3642
Pu Pt Pm Cu
1 1 1 1
direct
0.7500 0.7500 0.7500
0.5000 0.5000 0.5000
0.2500 0.2500 0.2500
0.0000 0.0000 0.0000
```

Computed properties:
energy of formation from the pure elements = -465 meV/atom
Fermi-level density of states = 2.792 states/eV per atom
total DFT energy (no corrections) = -7.77 eV per atom
magnetization = 5.67 μB per formula unit



(5)
First-principles (PBE-GGA) data for an optimized crystal structure of Pm2CuPt5Rh2, as listed in Alexandria.

```
Pm2CuPt5Rh2
1.0
4.0811 0.0000 0.0000
0.0000 9.4301 0.0000
0.0000 0.0000 9.4301
Rh Pt Pm Cu
4 10 4 2
direct
0.0000 0.3718 0.1282
0.0000 0.8718 0.3718
0.0000 0.6282 0.8718
0.0000 0.1282 0.6282
0.5000 0.0000 0.5000
0.5000 0.9405 0.1973
0.5000 0.5595 0.6973
0.5000 0.3027 0.5595
0.5000 0.8027 0.9405
0.5000 0.6973 0.4405
0.5000 0.0595 0.8027
0.5000 0.1973 0.0595
0.5000 0.4405 0.3027
0.5000 0.5000 0.0000
0.0000 0.8284 0.6716
0.0000 0.6716 0.1716
0.0000 0.1716 0.3284
0.0000 0.3284 0.8284
0.0000 0.0000 0.0000
0.0000 0.5000 0.5000
```

Computed properties:
energy of formation from the pure elements = -584 meV/atom
Fermi-level density of states = 0.758 states/eV per atom
total DFT energy (no corrections) = -6.43 eV per atom
magnetization = 0.00 μB per formula unit



(6)
First-principles (PBE-GGA) data for an optimized crystal structure of Pm2Cu2Pt5Rh, as listed in Alexandria.

```
Pm2Cu2Pt5Rh
1.0
4.0051 0.0000 0.0000
0.0000 9.3239 0.0000
0.0000 0.0000 9.3239
Pt Pm Cu Rh
10 4 4 2
direct
0.5000 0.2065 0.0635
0.5000 0.5000 0.0000
0.5000 0.0000 0.5000
0.5000 0.9365 0.2065
0.5000 0.2935 0.5635
0.5000 0.7935 0.9365
0.5000 0.5635 0.7065
0.5000 0.4365 0.2935
0.5000 0.7065 0.4365
0.5000 0.0635 0.7935
0.0000 0.3181 0.8181
0.0000 0.6819 0.1819
0.0000 0.8181 0.6819
0.0000 0.1819 0.3181
0.0000 0.3832 0.1168
0.0000 0.1168 0.6168
0.0000 0.8832 0.3832
0.0000 0.6168 0.8832
0.0000 0.0000 0.0000
0.0000 0.5000 0.5000
```

Computed properties:
energy of formation from the pure elements = -646 meV/atom
Fermi-level density of states = 0.830 states/eV per atom
total DFT energy (no corrections) = -6.17 eV per atom
magnetization = 0.00 μB per formula unit